Computed, not measured: a relaxed structure of Be2ZnPt at the PBE level of DFT.

E_tot = -16.0 eV/f.u.
Fermi-level density of states = 1.65 states/eV per cell
SG = Pm (6)

Lattice parameters (Å, degrees): 3.7571 2.7294 4.6990 73.35 90.00 90.00
Closest atoms and distances in Å follow each position.
Fractional positions:
Pt1 0.0000 0.4691 0.4404  7 Be 2.43-2.50
Zn1 0.5000 0.7861 0.8010  7 Be 2.42-2.49
Be1 0.0000 0.1891 0.9947  2 Be 2.24, 3 Pt 2.43-2.50, 4 Zn 2.48
Be2 0.5000 0.0557 0.2639  2 Be 2.24, 3 Zn 2.42-2.49, 4 Pt 2.45